# Tl5CdS4

An optimized crystal structure of Tl5CdS4 (GGA-PBE, Alexandria).

Unit cell a=9.5381 b=9.5381 c=8.1634 alpha=113.39 beta=113.39 gamma=24.44
Fractional positions:
Tl 0.0000 0.0000 0.0000
Tl 0.3127 0.3127 0.1654
Tl 0.3443 0.3443 0.6898
Tl 0.6557 0.6557 0.3102
Tl 0.6873 0.6873 0.8346
Cd 0.0000 0.0000 0.5000
S 0.1654 0.1654 0.5702
S 0.4700 0.4700 0.2568
S 0.5300 0.5300 0.7432
S 0.8346 0.8346 0.4298

## Properties
Space group ... C2/m
Raw formation energy ... -0.30 eV/atom
Total magnetization ... 0.000 μB per atom

# TlCdS3

An optimized crystal structure of TlCdS3 (GGA-PBE, Alexandria).

Unit cell a=5.0871 b=5.0871 c=5.0871 alpha=90.00 beta=90.00 gamma=90.00
Fractional positions:
Tl 0.0000 0.0000 0.0000
Cd 0.5000 0.5000 0.5000
S 0.0000 0.5000 0.5000
S 0.5000 0.0000 0.5000
S 0.5000 0.5000 0.0000

## Properties
Space group ... Pm-3m
Energy above the lowest structure with this stoichiometry ... 0.000 eV per atom
Raw formation energy ... 0.36 eV/atom
Total magnetization ... 0.000 μB per atom

# Tl2Cd2S3

An optimized crystal structure of Tl2Cd2S3 (GGA-PBE, Alexandria).

Unit cell a=7.3643 b=7.6265 c=8.0589 alpha=90.00 beta=118.56 gamma=90.00
Fractional positions:
Tl 0.1558 0.1659 0.3977
Tl 0.1558 0.3341 0.8977
Tl 0.8442 0.6659 0.1023
Tl 0.8442 0.8341 0.6023
Cd 0.3583 0.6285 0.5871
Cd 0.3583 0.8715 0.0871
Cd 0.6417 0.1285 0.9129
Cd 0.6417 0.3715 0.4129
S 0.0000 0.0000 0.0000
S 0.0000 0.5000 0.5000
S 0.3414 0.5949 0.2550
S 0.3414 0.9051 0.7550
S 0.6586 0.0949 0.2450
S 0.6586 0.4051 0.7450

## Properties
Space group ... P2_1/c
Raw formation energy ... -0.44 eV/atom
Total magnetization ... 0.000 μB per atom

# Tl2CdS2

An optimized crystal structure of Tl2CdS2 (GGA-PBE, Alexandria).

Unit cell a=7.9747 b=7.9747 c=7.9747 alpha=128.48 beta=73.88 gamma=130.95
Fractional positions:
Tl 0.1487 0.1442 0.2929
Tl 0.3513 0.6442 0.9955
Tl 0.6487 0.3558 0.0045
Tl 0.8513 0.8558 0.7071
Cd 0.2500 0.7500 0.5000
Cd 0.7500 0.2500 0.5000
S 0.1118 0.7028 0.8146
S 0.3882 0.2028 0.5909
S 0.6118 0.7972 0.4091
S 0.8882 0.2972 0.1854

## Properties
Space group ... Ibam
Energy above the lowest structure with this stoichiometry ... 0.023 eV per atom
Raw formation energy ... -0.38 eV/atom
Total magnetization ... 0.000 μB per atom

# Tl2CdS2

An optimized crystal structure of Tl2CdS2 (GGA-PBE, Alexandria).

Unit cell a=9.6932 b=7.2839 c=8.1579 alpha=90.00 beta=98.19 gamma=90.00
Fractional positions:
Tl 0.0586 0.2234 0.0472
Tl 0.0586 0.2766 0.5472
Tl 0.2819 0.5648 0.8595
Tl 0.2819 0.9352 0.3595
Tl 0.7181 0.0648 0.6405
Tl 0.7181 0.4352 0.1405
Tl 0.9414 0.7234 0.4528
Tl 0.9414 0.7766 0.9528
Cd 0.3758 0.0588 0.8160
Cd 0.3758 0.4412 0.3160
Cd 0.6242 0.5588 0.6840
Cd 0.6242 0.9412 0.1840
S 0.1408 0.5837 0.2152
S 0.1408 0.9163 0.7152
S 0.4529 0.2137 0.1019
S 0.4529 0.2863 0.6019
S 0.5471 0.7137 0.3981
S 0.5471 0.7863 0.8981
S 0.8592 0.0837 0.2848
S 0.8592 0.4163 0.7848

## Properties
Space group ... P2_1/c
Energy above the lowest structure with this stoichiometry ... 0.000 eV per atom
Raw formation energy ... -0.41 eV/atom
Total magnetization ... 0.000 μB per atom

# TlCd3S4

An optimized crystal structure of TlCd3S4 (GGA-PBE, Alexandria).

Unit cell a=7.4095 b=7.4095 c=7.4095 alpha=131.70 beta=131.70 gamma=70.70
Fractional positions:
Tl 0.0000 0.0000 0.0000
Cd 0.2500 0.7500 0.5000
Cd 0.5000 0.5000 0.0000
Cd 0.7500 0.2500 0.5000
S 0.1336 0.1336 0.5302
S 0.3965 0.8664 0.0000
S 0.6035 0.6035 0.4698
S 0.8664 0.3965 0.0000

## Properties
Space group ... I-42m
Energy above the lowest structure with this stoichiometry ... 0.000 eV per atom
Raw formation energy ... -0.48 eV/atom
Total magnetization ... 0.000 μB per atom

# Tl6CdS8

An optimized crystal structure of Tl6CdS8 (GGA-PBE, Alexandria).

Unit cell a=7.9546 b=7.9546 c=7.9546 alpha=98.04 beta=98.04 gamma=98.04
Fractional positions:
Tl 0.1503 0.5429 0.3524
Tl 0.3524 0.1503 0.5429
Tl 0.4571 0.6476 0.8497
Tl 0.5429 0.3524 0.1503
Tl 0.6476 0.8497 0.4571
Tl 0.8497 0.4571 0.6476
Cd 0.0000 0.0000 0.0000
S 0.1694 0.3919 0.6607
S 0.2017 0.2017 0.2017
S 0.3393 0.8306 0.6081
S 0.3919 0.6607 0.1694
S 0.6081 0.3393 0.8306
S 0.6607 0.1694 0.3919
S 0.7983 0.7983 0.7983
S 0.8306 0.6081 0.3393

## Properties
Space group ... R-3
Raw formation energy ... -0.02 eV/atom
Total magnetization ... 0.000 μB per atom

# TlCd3S4

An optimized crystal structure of TlCd3S4 (GGA-PBE, Alexandria).

Unit cell a=14.3765 b=14.3765 c=14.3765 alpha=17.01 beta=17.01 gamma=17.01
Fractional positions:
Tl 0.0000 0.0000 0.0000
Cd 0.2476 0.2476 0.2476
Cd 0.5012 0.5012 0.5012
Cd 0.7550 0.7550 0.7550
S 0.1870 0.1870 0.1870
S 0.4407 0.4407 0.4407
S 0.6944 0.6944 0.6944
S 0.9337 0.9337 0.9337

## Properties
Space group ... R3m
Energy above the lowest structure with this stoichiometry ... 0.006 eV per atom
Raw formation energy ... -0.47 eV/atom
Total magnetization ... 0.000 μB per atom

# Tl2CdS2

An optimized crystal structure of Tl2CdS2 (GGA-PBE, Alexandria).

Unit cell a=6.1688 b=6.1688 c=6.1688 alpha=129.57 beta=129.57 gamma=74.09
Fractional positions:
Tl 0.1503 0.1503 0.0000
Tl 0.8497 0.8497 0.0000
Cd 0.5000 0.5000 0.0000
S 0.2500 0.7500 0.5000
S 0.7500 0.2500 0.5000

## Properties
Space group ... I4/mmm
Energy above the lowest structure with this stoichiometry ... 0.449 eV per atom
Raw formation energy ... 0.04 eV/atom
Total magnetization ... 0.000 μB per atom

# Tl5Cd3S12

An optimized crystal structure of Tl5Cd3S12 (GGA-PBE, Alexandria).

Unit cell a=13.8009 b=13.8009 c=13.8009 alpha=109.47 beta=109.47 gamma=109.47
Fractional positions:
Tl 0.0000 0.0000 0.0000
Tl 0.0000 0.0000 0.5000
Tl 0.0000 0.5000 0.0000
Tl 0.0000 0.5000 0.5000
Tl 0.1250 0.7500 0.8750
Tl 0.1250 0.8750 0.2500
Tl 0.2500 0.1250 0.8750
Tl 0.2500 0.6250 0.3750
Tl 0.3750 0.2500 0.6250
Tl 0.3750 0.6250 0.7500
Tl 0.5000 0.0000 0.0000
Tl 0.5000 0.0000 0.5000
Tl 0.5000 0.5000 0.0000
Tl 0.5000 0.5000 0.5000
Tl 0.6250 0.3750 0.2500
Tl 0.6250 0.7500 0.3750
Tl 0.7500 0.3750 0.6250
Tl 0.7500 0.8750 0.1250
Tl 0.8750 0.1250 0.7500
Tl 0.8750 0.2500 0.1250
Cd 0.1250 0.2500 0.3750
Cd 0.1250 0.3750 0.7500
Cd 0.2500 0.3750 0.1250
Cd 0.2500 0.8750 0.6250
Cd 0.3750 0.1250 0.2500
Cd 0.3750 0.7500 0.1250
Cd 0.6250 0.2500 0.8750
Cd 0.6250 0.8750 0.7500
Cd 0.7500 0.1250 0.3750
Cd 0.7500 0.6250 0.8750
Cd 0.8750 0.6250 0.2500
Cd 0.8750 0.7500 0.6250
S 0.0512 0.2229 0.1394
S 0.0512 0.3283 0.9118
S 0.0835 0.7229 0.6717
S 0.0835 0.8606 0.4118
S 0.0882 0.6394 0.4165
S 0.0882 0.9488 0.6717
S 0.1394 0.0512 0.2229
S 0.1394 0.5882 0.9165
S 0.1717 0.2229 0.5835
S 0.1717 0.4488 0.5882
S 0.2229 0.1394 0.0512
S 0.2229 0.5835 0.1717
S 0.2771 0.3283 0.9165
S 0.2771 0.4488 0.3606
S 0.3283 0.9118 0.0512
S 0.3283 0.9165 0.2771
S 0.3606 0.2771 0.4488
S 0.3606 0.5835 0.9118
S 0.4118 0.0835 0.8606
S 0.4118 0.8283 0.5512
S 0.4165 0.0882 0.6394
S 0.4165 0.8283 0.7771
S 0.4488 0.3606 0.2771
S 0.4488 0.5882 0.1717
S 0.5512 0.4118 0.8283
S 0.5512 0.6394 0.7229
S 0.5835 0.1717 0.2229
S 0.5835 0.9118 0.3606
S 0.5882 0.1717 0.4488
S 0.5882 0.9165 0.1394
S 0.6394 0.4165 0.0882
S 0.6394 0.7229 0.5512
S 0.6717 0.0835 0.7229
S 0.6717 0.0882 0.9488
S 0.7229 0.5512 0.6394
S 0.7229 0.6717 0.0835
S 0.7771 0.4165 0.8283
S 0.7771 0.8606 0.9488
S 0.8283 0.5512 0.4118
S 0.8283 0.7771 0.4165
S 0.8606 0.4118 0.0835
S 0.8606 0.9488 0.7771
S 0.9118 0.0512 0.3283
S 0.9118 0.3606 0.5835
S 0.9165 0.1394 0.5882
S 0.9165 0.2771 0.3283
S 0.9488 0.6717 0.0882
S 0.9488 0.7771 0.8606

## Properties
Space group ... Ia-3d
Raw formation energy ... 0.06 eV/atom
Total magnetization ... 0.000 μB per atom

# TlCd3S

An optimized crystal structure of TlCd3S (GGA-PBE, Alexandria).

Unit cell a=5.4638 b=5.4638 c=5.4638 alpha=90.00 beta=90.00 gamma=90.00
Fractional positions:
Tl 0.0000 0.0000 0.0000
Cd 0.0000 0.0000 0.5000
Cd 0.0000 0.5000 0.0000
Cd 0.5000 0.0000 0.0000
S 0.5000 0.5000 0.5000

## Properties
Space group ... Pm-3m
Energy above the lowest structure with this stoichiometry ... 0.319 eV per atom
Raw formation energy ... 0.56 eV/atom
Total magnetization ... 0.193 μB per atom

# Tl3CdS4

An optimized crystal structure of Tl3CdS4 (GGA-PBE, Alexandria).

Unit cell a=7.5417 b=7.5417 c=7.5417 alpha=129.02 beta=129.02 gamma=74.98
Fractional positions:
Tl 0.0000 0.0000 0.0000
Tl 0.2500 0.7500 0.5000
Tl 0.7500 0.2500 0.5000
Cd 0.5000 0.5000 0.0000
S 0.1462 0.1462 0.5616
S 0.4154 0.8538 0.0000
S 0.5846 0.5846 0.4384
S 0.8538 0.4154 0.0000

## Properties
Space group ... I-42m
Raw formation energy ... -0.22 eV/atom
Total magnetization ... 0.000 μB per atom

> Which of these has the highest total magnetization?

TlCd3S